[1]
# Sc3C2 (PBE-GGA, relaxed)
data_Sc3C2
_symmetry_space_group_name_H-M 'R -3 c'
_symmetry_Int_Tables_number 167
_symmetry_space_group_name_Hall '-R 3 2"c'
_cell_length_a 5.7410
_cell_length_b 5.7410
_cell_length_c 16.1214
_cell_angle_alpha 90.00
_cell_angle_beta 90.00
_cell_angle_gamma 120.00
loop_
_atom_site_label
_atom_site_type_symbol
_atom_site_fract_x
_atom_site_fract_y
_atom_site_fract_z
Sc1 Sc 0.0000 0.3101 0.2500
C1 C 0.0000 0.0000 0.1540
# Energy relative to the elements, eV/atom: -0.43
# Polymorph energy (0 for the lowest one), meV/atom: 28
# M_tot, μB/f.u.: 0.00
# Calculated volume, Å³/f.u.: 77

[2]
# Sc2C (PBE-GGA, relaxed)
data_Sc2C
_symmetry_space_group_name_H-M 'P -3 m 1'
_symmetry_Int_Tables_number 164
_symmetry_space_group_name_Hall '-P 3 2"'
_cell_length_a 3.3263
_cell_length_b 3.3263
_cell_length_c 5.6709
_cell_angle_alpha 90.00
_cell_angle_beta 90.00
_cell_angle_gamma 120.00
loop_
_atom_site_label
_atom_site_type_symbol
_atom_site_fract_x
_atom_site_fract_y
_atom_site_fract_z
Sc1 Sc 0.3333 0.6667 0.2171
C1 C 0.0000 0.0000 0.0000
# Energy relative to the elements, eV/atom: -0.42
# M_tot, μB/f.u.: 0.15
# Calculated volume, Å³/f.u.: 54

[3]
# Sc7C6 (PBE-GGA, relaxed)
data_Sc7C6
_symmetry_space_group_name_H-M 'R -3 m'
_symmetry_Int_Tables_number 166
_symmetry_space_group_name_Hall '-R 3 2"'
_cell_length_a 5.8523
_cell_length_b 5.8523
_cell_length_c 22.9709
_cell_angle_alpha 90.00
_cell_angle_beta 90.00
_cell_angle_gamma 120.00
loop_
_atom_site_label
_atom_site_type_symbol
_atom_site_fract_x
_atom_site_fract_y
_atom_site_fract_z
Sc1 Sc 0.0000 0.0000 0.0000
Sc2 Sc 0.0082 0.5041 0.4343
C1 C 0.0000 0.0000 0.1660
C2 C 0.0000 0.0000 0.3133
C3 C 0.0000 0.0000 0.3709
# Energy relative to the elements, eV/atom: 0.57
# M_tot, μB/f.u.: 0.00
# Calculated volume, Å³/f.u.: 227

[4]
# ScC (PBE-GGA, relaxed)
data_ScC
_symmetry_space_group_name_H-M 'P 63/m m c'
_symmetry_Int_Tables_number 194
_symmetry_space_group_name_Hall '-P 6c 2c'
_cell_length_a 3.9647
_cell_length_b 3.9647
_cell_length_c 4.5736
_cell_angle_alpha 90.00
_cell_angle_beta 90.00
_cell_angle_gamma 120.00
loop_
_atom_site_label
_atom_site_type_symbol
_atom_site_fract_x
_atom_site_fract_y
_atom_site_fract_z
Sc1 Sc 0.3333 0.6667 0.2500
C1 C 0.3333 0.6667 0.7500
# Energy relative to the elements, eV/atom: 0.13
# Polymorph energy (0 for the lowest one), meV/atom: 588
# M_tot, μB/f.u.: 0.00
# Calculated volume, Å³/f.u.: 31

[5]
# ScC (PBE-GGA, relaxed)
data_ScC
_symmetry_space_group_name_H-M 'P 4/m b m'
_symmetry_Int_Tables_number 127
_symmetry_space_group_name_Hall '-P 4 2ab'
_cell_length_a 7.633
_cell_length_b 7.633
_cell_length_c 4.631
_cell_angle_alpha 90.00
_cell_angle_beta 90.00
_cell_angle_gamma 90.00
loop_
_atom_site_label
_atom_site_type_symbol
_atom_site_fract_x
_atom_site_fract_y
_atom_site_fract_z
Sc1 Sc 0.121 0.379 0.000
Sc2 Sc 0.198 0.698 0.500
C1 C 0.066 0.434 0.500
C2 C 0.182 0.682 0.000
# Energy relative to the elements, eV/atom: 0.06
# Polymorph energy (0 for the lowest one), meV/atom: 516
# M_tot, μB/f.u.: 0.00
# Calculated volume, Å³/f.u.: 34

[6]
# Sc2C (PBE-GGA, relaxed)
data_Sc2C
_symmetry_space_group_name_H-M 'P 63/m m c'
_symmetry_Int_Tables_number 194
_symmetry_space_group_name_Hall '-P 6c 2c'
_cell_length_a 4.1455
_cell_length_b 4.1455
_cell_length_c 5.7225
_cell_angle_alpha 90.00
_cell_angle_beta 90.00
_cell_angle_gamma 120.00
loop_
_atom_site_label
_atom_site_type_symbol
_atom_site_fract_x
_atom_site_fract_y
_atom_site_fract_z
Sc1 Sc 0.0000 0.0000 0.0000
Sc2 Sc 0.3333 0.6667 0.2500
C1 C 0.3333 0.6667 0.7500
# Energy relative to the elements, eV/atom: 0.32
# M_tot, μB/f.u.: 1.04
# Calculated volume, Å³/f.u.: 43

[7]
# ScC (PBE-GGA, relaxed)
data_ScC
_symmetry_space_group_name_H-M 'C 1 m 1'
_symmetry_Int_Tables_number 8
_cell_length_a 10.720
_cell_length_b 3.198
_cell_length_c 5.351
_cell_angle_alpha 90.00
_cell_angle_beta 117.87
_cell_angle_gamma 90.00
loop_
_symmetry_equiv_pos_as_xyz
'x,y,z'
'x,-y,z'
'x+1/2,y+1/2,z'
'x+1/2,-y+1/2,z'
loop_
_atom_site_label
_atom_site_type_symbol
_atom_site_fract_x
_atom_site_fract_y
_atom_site_fract_z
Sc1 Sc 0.000 0.000 0.000
Sc2 Sc 0.157 0.500 0.663
Sc3 Sc 0.337 0.500 0.332
C1 C 0.326 0.000 0.975
C2 C 0.335 0.000 0.709
C3 C 0.460 0.000 0.671
# Energy relative to the elements, eV/atom: -0.32
# Polymorph energy (0 for the lowest one), meV/atom: 145
# M_tot, μB/f.u.: 0.00
# Calculated volume, Å³/f.u.: 27

[8]
# Sc3C4 (PBE-GGA, relaxed)
data_Sc3C4
_symmetry_space_group_name_H-M 'P 4/m n c'
_symmetry_Int_Tables_number 128
_symmetry_space_group_name_Hall '-P 4 2n'
_cell_length_a 7.515
_cell_length_b 7.515
_cell_length_c 15.079
_cell_angle_alpha 90.00
_cell_angle_beta 90.00
_cell_angle_gamma 90.00
loop_
_atom_site_label
_atom_site_type_symbol
_atom_site_fract_x
_atom_site_fract_y
_atom_site_fract_z
Sc1 Sc 0.000 0.000 0.000
Sc2 Sc 0.000 0.000 0.312
Sc3 Sc 0.097 0.301 0.500
Sc4 Sc 0.100 0.713 0.144
C1 C 0.000 0.000 0.157
C2 C 0.000 0.000 0.457
C3 C 0.097 0.307 0.333
C4 C 0.107 0.697 0.000
C5 C 0.150 0.350 0.250
# Energy relative to the elements, eV/atom: -0.41
# Polymorph energy (0 for the lowest one), meV/atom: 0
# M_tot, μB/f.u.: 0.00
# Calculated volume, Å³/f.u.: 85

[9]
# Sc8C5 (PBE-GGA, relaxed)
data_Sc8C5
_symmetry_space_group_name_H-M 'C 1 2/m 1'
_symmetry_Int_Tables_number 12
_cell_length_a 11.127
_cell_length_b 6.628
_cell_length_c 7.950
_cell_angle_alpha 90.00
_cell_angle_beta 133.49
_cell_angle_gamma 90.00
loop_
_symmetry_equiv_pos_as_xyz
'x,y,z'
'-x,-y,-z'
'-x,y,-z'
'x,-y,z'
'x+1/2,y+1/2,z'
'-x+1/2,-y+1/2,-z'
'-x+1/2,y+1/2,-z'
'x+1/2,-y+1/2,z'
loop_
_atom_site_label
_atom_site_type_symbol
_atom_site_fract_x
_atom_site_fract_y
_atom_site_fract_z
Sc1 Sc 0.018 0.000 0.318
Sc2 Sc 0.029 0.500 0.337
Sc3 Sc 0.220 0.236 0.166
C1 C 0.000 0.000 0.000
C2 C 0.000 0.255 0.500
C3 C 0.228 0.500 0.998
# Energy relative to the elements, eV/atom: -0.43
# M_tot, μB/f.u.: 0.00
# Calculated volume, Å³/f.u.: 213

[10]
# Sc3C4 (PBE-GGA, relaxed)
data_Sc3C4
_symmetry_space_group_name_H-M 'P m -3 m'
_symmetry_Int_Tables_number 221
_symmetry_space_group_name_Hall '-P 4 2 3'
_cell_length_a 4.631
_cell_length_b 4.631
_cell_length_c 4.631
_cell_angle_alpha 90.00
_cell_angle_beta 90.00
_cell_angle_gamma 90.00
loop_
_atom_site_label
_atom_site_type_symbol
_atom_site_fract_x
_atom_site_fract_y
_atom_site_fract_z
Sc1 Sc 0.000 0.000 0.500
C1 C 0.000 0.000 0.000
C2 C 0.000 0.500 0.500
# Energy relative to the elements, eV/atom: 0.85
# Polymorph energy (0 for the lowest one), meV/atom: 1262
# M_tot, μB/f.u.: 0.00
# Calculated volume, Å³/f.u.: 99

[11]
# Sc2C (PBE-GGA, relaxed)
data_Sc2C
_symmetry_space_group_name_H-M 'I 41/a m d'
_symmetry_Int_Tables_number 141
_cell_length_a 2.928
_cell_length_b 2.928
_cell_length_c 22.848
_cell_angle_alpha 90.00
_cell_angle_beta 90.00
_cell_angle_gamma 90.00
loop_
_symmetry_equiv_pos_as_xyz
'x,y,z'
'-x,-y,-z'
'-y+1/4,x+3/4,z+1/4'
'y+1/4,-x+3/4,-z+1/4'
'-x+1/2,-y,z+1/2'
'x+1/2,y,-z+1/2'
'y+1/4,-x+1/4,z+3/4'
'-y+1/4,x+1/4,-z+3/4'
'x,-y,-z'
'-x,y,z'
'-y+1/4,-x+1/4,-z+3/4'
'y+1/4,x+1/4,z+3/4'
'-x+1/2,y,-z+1/2'
'x+1/2,-y,z+1/2'
'y+1/4,x+3/4,-z+1/4'
'-y+1/4,-x+3/4,z+1/4'
'x+1/2,y+1/2,z+1/2'
'-x+1/2,-y+1/2,-z+1/2'
'-y+3/4,x+1/4,z+3/4'
'y+3/4,-x+1/4,-z+3/4'
'-x,-y+1/2,z'
'x,y+1/2,-z'
'y+3/4,-x+3/4,z+1/4'
'-y+3/4,x+3/4,-z+1/4'
'x+1/2,-y+1/2,-z+1/2'
'-x+1/2,y+1/2,z+1/2'
'-y+3/4,-x+3/4,-z+1/4'
'y+3/4,x+3/4,z+1/4'
'-x,y+1/2,-z'
'x,-y+1/2,z'
'y+3/4,x+1/4,-z+3/4'
'-y+3/4,-x+1/4,z+3/4'
loop_
_atom_site_label
_atom_site_type_symbol
_atom_site_fract_x
_atom_site_fract_y
_atom_site_fract_z
Sc1 Sc 0.000 0.250 0.319
C1 C 0.000 0.250 0.875
# Energy relative to the elements, eV/atom: 0.14
# M_tot, μB/f.u.: 0.00
# Calculated volume, Å³/f.u.: 49

[12]
# Sc4C23 (PBE-GGA, relaxed)
data_Sc4C23
_symmetry_space_group_name_H-M 'P m -3 n'
_symmetry_Int_Tables_number 223
_symmetry_space_group_name_Hall '-P 4n 2 3'
_cell_length_a 7.266
_cell_length_b 7.266
_cell_length_c 7.266
_cell_angle_alpha 90.00
_cell_angle_beta 90.00
_cell_angle_gamma 90.00
loop_
_atom_site_label
_atom_site_type_symbol
_atom_site_fract_x
_atom_site_fract_y
_atom_site_fract_z
Sc1 Sc 0.000 0.000 0.000
Sc2 Sc 0.000 0.250 0.500
C1 C 0.000 0.292 0.178
C2 C 0.000 0.500 0.250
C3 C 0.185 0.185 0.185
# Energy relative to the elements, eV/atom: 0.72
# M_tot, μB/f.u.: 0.00
# Calculated volume, Å³/f.u.: 192

[13]
# Sc3C5 (PBE-GGA, relaxed)
data_Sc3C5
_symmetry_space_group_name_H-M 'C m m m'
_symmetry_Int_Tables_number 65
_symmetry_space_group_name_Hall '-C 2 2'
_cell_length_a 6.257
_cell_length_b 8.191
_cell_length_c 3.425
_cell_angle_alpha 90.00
_cell_angle_beta 90.00
_cell_angle_gamma 90.00
loop_
_atom_site_label
_atom_site_type_symbol
_atom_site_fract_x
_atom_site_fract_y
_atom_site_fract_z
Sc1 Sc 0.000 0.000 0.000
Sc2 Sc 0.000 0.305 0.500
C1 C 0.000 0.500 0.000
C2 C 0.230 0.000 0.500
C3 C 0.250 0.250 0.000
# Energy relative to the elements, eV/atom: 1.04
# Polymorph energy (0 for the lowest one), meV/atom: 1048
# M_tot, μB/f.u.: 0.00
# Calculated volume, Å³/f.u.: 88

[14]
# Sc2C (PBE-GGA, relaxed)
data_Sc2C
_symmetry_space_group_name_H-M 'C m c m'
_symmetry_Int_Tables_number 63
_symmetry_space_group_name_Hall '-C 2c 2'
_cell_length_a 3.466
_cell_length_b 16.558
_cell_length_c 3.567
_cell_angle_alpha 90.00
_cell_angle_beta 90.00
_cell_angle_gamma 90.00
loop_
_atom_site_label
_atom_site_type_symbol
_atom_site_fract_x
_atom_site_fract_y
_atom_site_fract_z
Sc1 Sc 0.000 0.095 0.250
Sc2 Sc 0.000 0.231 0.750
C1 C 0.000 0.354 0.250
# Energy relative to the elements, eV/atom: 0.24
# M_tot, μB/f.u.: 0.00
# Calculated volume, Å³/f.u.: 51

[15]
# ScC (PBE-GGA, relaxed)
data_ScC
_symmetry_space_group_name_H-M 'P m -3 n'
_symmetry_Int_Tables_number 223
_symmetry_space_group_name_Hall '-P 4n 2 3'
_cell_length_a 6.240
_cell_length_b 6.240
_cell_length_c 6.240
_cell_angle_alpha 90.00
_cell_angle_beta 90.00
_cell_angle_gamma 90.00
loop_
_atom_site_label
_atom_site_type_symbol
_atom_site_fract_x
_atom_site_fract_y
_atom_site_fract_z
Sc1 Sc 0.000 0.250 0.500
C1 C 0.000 0.500 0.250
# Energy relative to the elements, eV/atom: 0.50
# Polymorph energy (0 for the lowest one), meV/atom: 960
# M_tot, μB/f.u.: 0.82
# Calculated volume, Å³/f.u.: 40

[16]
# ScC (PBE-GGA, relaxed)
data_ScC
_symmetry_space_group_name_H-M 'P 63/m m c'
_symmetry_Int_Tables_number 194
_symmetry_space_group_name_Hall '-P 6c 2c'
_cell_length_a 4.5987
_cell_length_b 4.5987
_cell_length_c 5.8346
_cell_angle_alpha 90.00
_cell_angle_beta 90.00
_cell_angle_gamma 120.00
loop_
_atom_site_label
_atom_site_type_symbol
_atom_site_fract_x
_atom_site_fract_y
_atom_site_fract_z
Sc1 Sc 0.0000 0.0000 0.2500
Sc2 Sc 0.3333 0.6667 0.2500
C1 C 0.3333 0.6667 0.6357
# Energy relative to the elements, eV/atom: 0.60
# Polymorph energy (0 for the lowest one), meV/atom: 1059
# M_tot, μB/f.u.: 0.00
# Calculated volume, Å³/f.u.: 27

[17]
# ScC (PBE-GGA, relaxed)
data_ScC
_symmetry_space_group_name_H-M 'P 4/m m m'
_symmetry_Int_Tables_number 123
_symmetry_space_group_name_Hall '-P 4 2'
_cell_length_a 2.806
_cell_length_b 2.806
_cell_length_c 3.020
_cell_angle_alpha 90.00
_cell_angle_beta 90.00
_cell_angle_gamma 90.00
loop_
_atom_site_label
_atom_site_type_symbol
_atom_site_fract_x
_atom_site_fract_y
_atom_site_fract_z
Sc1 Sc 0.000 0.000 0.000
C1 C 0.500 0.500 0.500
# Energy relative to the elements, eV/atom: 0.38
# Polymorph energy (0 for the lowest one), meV/atom: 842
# M_tot, μB/f.u.: 0.00
# Calculated volume, Å³/f.u.: 24

[18]
# Sc2C (PBE-GGA, relaxed)
data_Sc2C
_symmetry_space_group_name_H-M 'I 4/m m m'
_symmetry_Int_Tables_number 139
_symmetry_space_group_name_Hall '-I 4 2'
_cell_length_a 2.932
_cell_length_b 2.932
_cell_length_c 11.170
_cell_angle_alpha 90.00
_cell_angle_beta 90.00
_cell_angle_gamma 90.00
loop_
_atom_site_label
_atom_site_type_symbol
_atom_site_fract_x
_atom_site_fract_y
_atom_site_fract_z
Sc1 Sc 0.000 0.000 0.116
C1 C 0.000 0.000 0.500
# Energy relative to the elements, eV/atom: 0.10
# M_tot, μB/f.u.: 0.00
# Calculated volume, Å³/f.u.: 48

[19]
# Sc7C (PBE-GGA, relaxed)
data_Sc7C
_symmetry_space_group_name_H-M 'F m -3 m'
_symmetry_Int_Tables_number 225
_symmetry_space_group_name_Hall '-F 4 2 3'
_cell_length_a 8.777
_cell_length_b 8.777
_cell_length_c 8.777
_cell_angle_alpha 90.00
_cell_angle_beta 90.00
_cell_angle_gamma 90.00
loop_
_atom_site_label
_atom_site_type_symbol
_atom_site_fract_x
_atom_site_fract_y
_atom_site_fract_z
Sc1 Sc 0.000 0.000 0.000
Sc2 Sc 0.000 0.250 0.250
C1 C 0.000 0.000 0.500
# Energy relative to the elements, eV/atom: 0.51
# M_tot, μB/f.u.: 0.20
# Calculated volume, Å³/f.u.: 169

[20]
# ScC (PBE-GGA, relaxed)
data_ScC
_symmetry_space_group_name_H-M 'I 41/a m d'
_symmetry_Int_Tables_number 141
_cell_length_a 3.266
_cell_length_b 3.266
_cell_length_c 9.588
_cell_angle_alpha 90.00
_cell_angle_beta 90.00
_cell_angle_gamma 90.00
loop_
_symmetry_equiv_pos_as_xyz
'x,y,z'
'-x,-y,-z'
'-y+1/4,x+3/4,z+1/4'
'y+1/4,-x+3/4,-z+1/4'
'-x+1/2,-y,z+1/2'
'x+1/2,y,-z+1/2'
'y+1/4,-x+1/4,z+3/4'
'-y+1/4,x+1/4,-z+3/4'
'x,-y,-z'
'-x,y,z'
'-y+1/4,-x+1/4,-z+3/4'
'y+1/4,x+1/4,z+3/4'
'-x+1/2,y,-z+1/2'
'x+1/2,-y,z+1/2'
'y+1/4,x+3/4,-z+1/4'
'-y+1/4,-x+3/4,z+1/4'
'x+1/2,y+1/2,z+1/2'
'-x+1/2,-y+1/2,-z+1/2'
'-y+3/4,x+1/4,z+3/4'
'y+3/4,-x+1/4,-z+3/4'
'-x,-y+1/2,z'
'x,y+1/2,-z'
'y+3/4,-x+3/4,z+1/4'
'-y+3/4,x+3/4,-z+1/4'
'x+1/2,-y+1/2,-z+1/2'
'-x+1/2,y+1/2,z+1/2'
'-y+3/4,-x+3/4,-z+1/4'
'y+3/4,x+3/4,z+1/4'
'-x,y+1/2,-z'
'x,-y+1/2,z'
'y+3/4,x+1/4,-z+3/4'
'-y+3/4,-x+1/4,z+3/4'
loop_
_atom_site_label
_atom_site_type_symbol
_atom_site_fract_x
_atom_site_fract_y
_atom_site_fract_z
Sc1 Sc 0.000 0.250 0.375
C1 C 0.000 0.250 0.875
# Energy relative to the elements, eV/atom: 0.31
# Polymorph energy (0 for the lowest one), meV/atom: 773
# M_tot, μB/f.u.: 0.00
# Calculated volume, Å³/f.u.: 26